[1]
Density functional theory data (PBE) for La4YCl after structural relaxation.

Structure (POSCAR):
```
La4YCl
1.0
0.000 4.764 4.764
4.764 0.000 4.764
4.764 4.764 0.000
La Y Cl
4 1 1
direct
0.120 0.120 0.120
0.120 0.120 0.641
0.120 0.641 0.120
0.641 0.120 0.120
0.750 0.750 0.750
0.500 0.500 0.500
```

Results
The uncorrected formation energy is 0.18 eV/atom.



[2]
Density functional theory data (PBE) for AcMgRu2O7 after structural relaxation.

Structure (POSCAR):
```
AcMgRu2O7
1.0
-1.973 1.973 9.139
1.973 -1.973 9.139
1.973 1.973 -9.139
Ac Mg Ru O
1 1 2 7
direct
0.000 0.000 0.000
0.750 0.250 0.500
0.384 0.384 0.000
0.616 0.616 0.000
0.096 0.596 0.500
0.281 0.281 0.000
0.404 0.904 0.500
0.500 0.500 0.000
0.612 0.112 0.500
0.719 0.719 0.000
0.888 0.388 0.500
```

Results
The uncorrected formation energy is -1.74 eV/atom.